Record 1
# KWS2N

A PBEsol-optimized structure of KWS2N (SCAN, Alexandria via LeMat-Bulk).

a = 4.8093 Å, b = 4.8093 Å, c = 3.8855 Å
α = 90.00°, β = 90.00°, γ = 90.00°
With the nearest neighbours (Å) after each atom.
Space group P4/mmm (No. 123)
Inequivalent atoms, fractional coordinates:
K1 0.0000 0.0000 0.0000 (multiplicity 1)  8 S 3.09, 4 N 3.40
W1 0.5000 0.5000 0.5000 (multiplicity 1)  2 N 1.94
S1 0.0000 0.5000 0.5000 (multiplicity 2)  2 W 2.40
N1 0.5000 0.5000 0.0000 (multiplicity 1)  2 W 1.94

* final energy: -0.8011 Ha/atom
* formation energy (no corrections): -487 meV per atom


Record 2
# KSc2N

A PBEsol-optimized structure of KSc2N (SCAN, Alexandria via LeMat-Bulk).

a = 3.2585 Å, b = 3.2585 Å, c = 28.3975 Å
α = 90.00°, β = 90.00°, γ = 120.00°
With the nearest neighbours (Å) after each atom.
Space group R-3m (No. 166, hexagonal axes)
Inequivalent atoms, fractional coordinates:
K1 0.0000 0.0000 0.0000 (multiplicity 3)  6 K 3.26, 2 Sc 3.55
Sc1 0.0000 0.0000 0.1251 (multiplicity 6)  3 N 2.22
N1 0.0000 0.0000 0.5000 (multiplicity 3)  6 Sc 2.22

* final energy: -0.4518 Ha/atom
* formation energy (no corrections): -770 meV per atom


Record 3
# KSc2TlN

A PBEsol-optimized structure of KSc2TlN (SCAN, Alexandria via LeMat-Bulk).

a = 5.3696 Å, b = 5.3696 Å, c = 6.3918 Å
α = 90.00°, β = 90.00°, γ = 90.00°
With the nearest neighbours (Å) after each atom.
Space group P4/mmm (No. 123)
Inequivalent atoms, fractional coordinates:
K1 0.0000 0.0000 0.0000 (multiplicity 1)  2 Tl 3.20
Sc1 0.0000 0.5000 0.5000 (multiplicity 2)  2 Tl 2.68
Tl1 0.0000 0.0000 0.5000 (multiplicity 1)  4 Sc 2.68
N1 0.5000 0.5000 0.0000 (multiplicity 1)  4 K 3.80, 8 Sc 4.17

* final energy: -0.8246 Ha/atom
* formation energy (no corrections): 1252 meV per atom


Record 4
# KSeN2

A PBEsol-optimized structure of KSeN2 (SCAN, Alexandria via LeMat-Bulk).

a = 5.8472 Å, b = 5.8472 Å, c = 7.8767 Å
α = 90.00°, β = 90.00°, γ = 90.00°
With the nearest neighbours (Å) after each atom.
Space group I-42d (No. 122)
Inequivalent atoms, fractional coordinates:
K1 0.0000 0.0000 0.0000 (multiplicity 4)  4 N 2.83
Se1 0.0000 0.0000 0.5000 (multiplicity 4)  4 N 1.90
N1 0.1223 0.7500 0.6250 (multiplicity 8)  2 Se 1.90

* final energy: -0.4071 Ha/atom
* formation energy (no corrections): 671 meV per atom


Record 5
# KSiSe2N

A PBEsol-optimized structure of KSiSe2N (SCAN, Alexandria via LeMat-Bulk).

a = 5.5325 Å, b = 5.5325 Å, c = 4.6252 Å
α = 90.00°, β = 90.00°, γ = 90.00°
With the nearest neighbours (Å) after each atom.
Space group P4/mmm (No. 123)
Inequivalent atoms, fractional coordinates:
K1 0.0000 0.0000 0.0000 (multiplicity 1)  2 N 2.31
Si1 0.5000 0.5000 0.5000 (multiplicity 1)  8 Se 3.61, 4 N 3.91
Se1 0.0000 0.5000 0.0000 (multiplicity 2)  2 K 2.77
N1 0.0000 0.0000 0.5000 (multiplicity 1)  2 K 2.31

* final energy: -0.4354 Ha/atom
* formation energy (no corrections): 1710 meV per atom


Record 6
# KTiSe2N

A PBEsol-optimized structure of KTiSe2N (SCAN, Alexandria via LeMat-Bulk).

a = 5.1046 Å, b = 5.1046 Å, c = 3.9228 Å
α = 90.00°, β = 90.00°, γ = 90.00°
With the nearest neighbours (Å) after each atom.
Space group P4/mmm (No. 123)
Inequivalent atoms, fractional coordinates:
K1 0.0000 0.0000 0.0000 (multiplicity 1)  8 Se 3.22
Ti1 0.5000 0.5000 0.5000 (multiplicity 1)  2 N 1.96
Se1 0.0000 0.5000 0.5000 (multiplicity 2)  2 Ti 2.55
N1 0.5000 0.5000 0.0000 (multiplicity 1)  2 Ti 1.96

* final energy: -0.5670 Ha/atom
* formation energy (no corrections): -668 meV per atom


Record 7
# KYSeN2

A PBEsol-optimized structure of KYSeN2 (SCAN, Alexandria via LeMat-Bulk).

a = 4.6210 Å, b = 4.6210 Å, c = 5.5332 Å
α = 90.00°, β = 90.00°, γ = 90.00°
With the nearest neighbours (Å) after each atom.
Space group P4/mmm (No. 123)
Inequivalent atoms, fractional coordinates:
K1 0.0000 0.0000 0.0000 (multiplicity 1)  4 Se 3.27, 8 N 3.60
Y1 0.5000 0.5000 0.5000 (multiplicity 1)  4 N 2.31
Se1 0.5000 0.5000 0.0000 (multiplicity 1)  2 Y 2.77
N1 0.0000 0.5000 0.5000 (multiplicity 2)  2 Y 2.31

* final energy: -0.5531 Ha/atom
* formation energy (no corrections): -85 meV per atom


Record 8
# K2SrSiN

A PBEsol-optimized structure of K2SrSiN (SCAN, Alexandria via LeMat-Bulk).

a = 7.2764 Å, b = 7.2764 Å, c = 3.5392 Å
α = 90.00°, β = 90.00°, γ = 90.00°
With the nearest neighbours (Å) after each atom.
Space group P4/mmm (No. 123)
Inequivalent atoms, fractional coordinates:
K1 0.0000 0.5000 0.0000 (multiplicity 2)  2 K 3.54, 2 Si 3.64
Sr1 0.0000 0.0000 0.5000 (multiplicity 1)  2 Sr 3.54
Si1 0.5000 0.5000 0.0000 (multiplicity 1)  2 N 1.77
N1 0.5000 0.5000 0.5000 (multiplicity 1)  2 Si 1.77

* final energy: -0.4076 Ha/atom
* formation energy (no corrections): 558 meV per atom


Record 9
# KSiTe2N

A PBEsol-optimized structure of KSiTe2N (SCAN, Alexandria via LeMat-Bulk).

a = 5.8883 Å, b = 5.8883 Å, c = 4.6379 Å
α = 90.00°, β = 90.00°, γ = 90.00°
With the nearest neighbours (Å) after each atom.
Space group P4/mmm (No. 123)
Inequivalent atoms, fractional coordinates:
K1 0.0000 0.0000 0.0000 (multiplicity 1)  2 N 2.32
Si1 0.5000 0.5000 0.5000 (multiplicity 1)  8 Te 3.75, 4 N 4.16
Te1 0.0000 0.5000 0.0000 (multiplicity 2)  2 K 2.94
N1 0.0000 0.0000 0.5000 (multiplicity 1)  2 K 2.32

* final energy: -0.6877 Ha/atom
* formation energy (no corrections): 1715 meV per atom
* polymorph energy (0 for the lowest one): 1953.4 meV/atom


Record 10
# KSiTe2N

A PBEsol-optimized structure of KSiTe2N (SCAN, Alexandria via LeMat-Bulk).

a = 6.0393 Å, b = 6.0393 Å, c = 3.2399 Å
α = 90.00°, β = 90.00°, γ = 90.00°
With the nearest neighbours (Å) after each atom.
Space group P4/mmm (No. 123)
Inequivalent atoms, fractional coordinates:
K1 0.0000 0.0000 0.0000 (multiplicity 1)  2 K 3.24, 8 Te 3.43
Si1 0.5000 0.5000 0.5000 (multiplicity 1)  2 N 1.62
Te1 0.0000 0.5000 0.5000 (multiplicity 2)  2 Si 3.02, 2 Te 3.24
N1 0.5000 0.5000 0.0000 (multiplicity 1)  2 Si 1.62

* final energy: -0.7595 Ha/atom
* formation energy (no corrections): -238 meV per atom
* polymorph energy (0 for the lowest one): 0.0 meV/atom


Record 11
# KSnN3

A PBEsol-optimized structure of KSnN3 (SCAN, Alexandria via LeMat-Bulk).

a = 4.7013 Å, b = 4.7013 Å, c = 4.7013 Å
α = 90.00°, β = 90.00°, γ = 90.00°
With the nearest neighbours (Å) after each atom.
Space group Pm-3m (No. 221)
Inequivalent atoms, fractional coordinates:
K1 0.0000 0.0000 0.0000 (multiplicity 1)  6 N 2.35
Sn1 0.5000 0.5000 0.5000 (multiplicity 1)  12 N 3.32
N1 0.0000 0.0000 0.5000 (multiplicity 3)  2 K 2.35

* final energy: -0.4398 Ha/atom
* formation energy (no corrections): 2457 meV per atom


Record 12
# KTa2SnN

A PBEsol-optimized structure of KTa2SnN (SCAN, Alexandria via LeMat-Bulk).

a = 5.2088 Å, b = 5.2088 Å, c = 6.8424 Å
α = 90.00°, β = 90.00°, γ = 90.00°
With the nearest neighbours (Å) after each atom.
Space group P4/mmm (No. 123)
Inequivalent atoms, fractional coordinates:
K1 0.0000 0.0000 0.0000 (multiplicity 1)  2 Sn 3.42, 4 N 3.68
Ta1 0.0000 0.5000 0.5000 (multiplicity 2)  2 Sn 2.60
Sn1 0.0000 0.0000 0.5000 (multiplicity 1)  4 Ta 2.60
N1 0.5000 0.5000 0.0000 (multiplicity 1)  4 K 3.68

* final energy: -1.2758 Ha/atom
* formation energy (no corrections): 2626 meV per atom